# 1
A relaxed CsLi2NbGa crystal, computed with PBE.

Cell lengths 5.2286, 6.2997, 5.2286 Å; angles 90.00, 90.00, 90.00 degrees
Each line ends with the local moment (μB).
Element x y z (fractional)
Cs: 0.0000 0.5000 0.0000  0.07
Nb: 0.5000 0.5000 0.5000  3.18
Ga: 0.0000 0.0000 0.0000  -0.28
Li: 0.0000 0.0000 0.5000  -0.06
Li: 0.5000 0.0000 0.0000  -0.03

## Properties
Density of states at the Fermi level   2.78 states/eV/f.u.
Energy of formation   1169 meV/atom
Total DFT energy (no corrections)   -2.386 eV/atom

***

# 2
A relaxed Cs2Li3GaO4 crystal, computed with PBE.

Cell lengths 8.2682, 8.2682, 8.2682 Å; angles 144.12, 104.42, 86.60 degrees
Element x y z (fractional)
Cs: 0.3727 0.2395 0.6122
Cs: 0.6273 0.7605 0.3878
Cs: 0.8727 0.2605 0.1331
Cs: 0.1273 0.7395 0.8669
Li: 0.4905 0.7500 0.7405
Li: 0.9905 0.2500 0.7405
Li: 0.0095 0.7500 0.2595
Li: 0.2500 0.7500 0.5000
Li: 0.5095 0.2500 0.2595
Li: 0.7500 0.2500 0.5000
Ga: 0.7500 0.7500 0.0000
Ga: 0.2500 0.2500 0.0000
O: 0.0584 0.9441 0.6504
O: 0.2063 0.5559 0.1143
O: 0.7937 0.4441 0.8857
O: 0.5584 0.9080 0.1143
O: 0.9416 0.0559 0.3496
O: 0.7063 0.5920 0.6504
O: 0.4416 0.0920 0.8857
O: 0.2937 0.4080 0.3496

## Properties
Density of states at the Fermi level   0.00 states/eV/f.u.
Formation energy (no corrections)   -1732.3 meV per atom
Total DFT energy (no corrections)   -4.763 eV/atom

***

# 3
A relaxed Cs2LiGaP crystal, computed with PBE.

Cell lengths 7.3395, 4.6372, 7.3395 Å; angles 90.00, 90.00, 90.00 degrees
Element x y z (fractional)
Cs: 0.0000 0.0000 0.5000
Cs: 0.5000 0.0000 0.0000
P: 0.0000 0.5000 0.0000
Ga: 0.0000 0.0000 0.0000
Li: 0.5000 0.5000 0.5000

## Properties
Density of states at the Fermi level   1.46 states/eV/f.u.
Energy of formation   113 meV/atom
Total DFT energy (no corrections)   -2.299 eV/atom

***

# 4
A relaxed CsLiGa2Pd crystal, computed with PBE.

Cell lengths 4.9252, 4.9252, 5.4493 Å; angles 90.00, 90.00, 90.00 degrees
Element x y z (fractional)
Cs: 0.5000 0.5000 0.5000
Ga: 0.0000 0.5000 0.0000
Ga: 0.5000 0.0000 0.0000
Pd: 0.0000 0.0000 0.0000
Li: 0.0000 0.0000 0.5000

## Properties
Density of states at the Fermi level   1.37 states/eV/f.u.
Energy of formation   -201 meV/atom
Total DFT energy (no corrections)   -3.004 eV/atom

***

# 5
A relaxed CsLi2GaPt crystal, computed with PBE.

Cell lengths 5.2914, 5.2914, 4.8266 Å; angles 90.00, 90.00, 90.00 degrees
Element x y z (fractional)
Cs: 0.5000 0.5000 0.5000
Ga: 0.0000 0.0000 0.5000
Pt: 0.0000 0.0000 0.0000
Li: 0.0000 0.5000 0.0000
Li: 0.5000 0.0000 0.0000

## Properties
Density of states at the Fermi level   2.54 states/eV/f.u.
Energy of formation   -265 meV/atom
Total DFT energy (no corrections)   -3.015 eV/atom

***

# 6
A relaxed CsLiGa2Rh crystal, computed with PBE.

Cell lengths 4.8694, 4.8694, 5.4154 Å; angles 90.00, 90.00, 90.00 degrees
Element x y z (fractional)
Cs: 0.5000 0.5000 0.5000
Rh: 0.0000 0.0000 0.0000
Ga: 0.0000 0.5000 0.0000
Ga: 0.5000 0.0000 0.0000
Li: 0.0000 0.0000 0.5000

## Properties
Density of states at the Fermi level   2.26 states/eV/f.u.
Energy of formation   -229 meV/atom
Total DFT energy (no corrections)   -3.464 eV/atom

***

Number 3 is which compound?
Cs2LiGaP

***

density of states at the Fermi level of number 3 (Cs2LiGaP)?
1.46 states/eV/f.u.

***

Look up the density of states at the Fermi level of the third one.
1.46 states/eV/f.u.

***

Look up the total DFT energy (no corrections) of the second one.
-4.763 eV/atom